## SrLaSi2 (GGA-PBE)

Data for a relaxed SrLaSi2 crystal.

Structure (POSCAR):
```
SrLaSi2
1.0
3.6343 0.0000 0.0000
0.0000 5.1806 0.0000
0.0000 0.0000 6.2574
Si Sr La
2 1 1
direct
0.5000 0.5000 0.3748
0.0000 0.0000 0.8751
0.0000 0.0000 0.3751
0.5000 0.5000 0.8750
```

Results
DOS at the Fermi energy = 4.40 states/eV per cell
E = -17.89 eV for the cell shown
offset from the most stable computed form = 471.9 meV/atom